Computed, not measured: PPt2Br after structural relaxation at the PBE level of DFT.

Unit cell a=3.196 b=3.196 c=6.890 alpha=90.00 beta=90.00 gamma=90.00
Sites, in units of the cell vectors:
Pt: 0.000 0.000 0.556
Br: 0.500 0.500 0.250
P: 0.500 0.500 0.750
Pt: 0.000 0.000 0.944

Results
Energy = -18.0 eV per cell
Magnetic moment = 0.00 μB/f.u.
Fermi-level density of states = 0.289 states/eV per atom